ScCuRe2: relaxed, PBE.

The structure belongs to space group I-42d (No. 122); the cell edges are 7.3953, 7.3953 and 4.9597 Å and the angles 90.00°, 90.00° and 90.00°. The inequivalent atoms are Sc at (0.0000, 0.0000, 0.0000), Cu at (0.0000, 0.0000, 0.5000) and Re at (0.2103, 0.2500, 0.6250).

Its total energy is -8.142 eV/atom. The value obtained for the total magnetic moment is 0.00 μB per formula unit.